PBE-GGA ZnInGa, optimized geometry; energy of formation from the pure elements = 0.089 eV/atom; total moment = 0.00 μB/f.u.; V = 62.21 Å³/cell
1.0
3.342 0.000 0.000
0.000 3.342 0.000
-1.671 -1.671 5.569
Zn Ga In
1 1 1
Direct
0.683 0.683 0.367
0.314 0.314 0.628
0.002 0.002 0.005


PBE-GGA K4YCo, optimized geometry; energy of formation from the pure elements = 1.043 eV/atom; total moment = 0.74 μB/f.u.; V = 278.50 Å³/cell
1.0
0.000 5.183 5.183
5.183 0.000 5.183
5.183 5.183 0.000
K Y Co
4 1 1
Direct
0.878 0.374 0.374
0.374 0.374 0.878
0.374 0.878 0.374
0.374 0.374 0.374
0.750 0.750 0.750
0.000 0.000 0.000


PBE-GGA AcPr2Au, optimized geometry; energy of formation from the pure elements = -0.376 eV/atom; total moment = 0.00 μB/f.u.; V = 268.61 Å³/cell
1.0
-1.757 4.705 -1.336
-4.296 -4.955 -1.710
-3.720 0.694 7.337
Ac Pr Au
2 4 2
Direct
0.950 0.900 0.250
0.050 0.100 0.750
0.355 0.710 0.534
0.645 0.290 0.466
0.355 0.710 0.966
0.645 0.290 0.034
0.794 0.588 0.750
0.206 0.412 0.250


PBE-GGA LiCu2AsS4, optimized geometry; total moment = 0.00 μB/f.u.; V = 154.70 Å³/cell; uncorrected formation energy = -0.41 eV per atom
1.0
-2.464 -4.650 -1.560
4.444 -1.378 -2.912
0.951 0.609 6.336
Li Cu As S
1 2 1 4
Direct
0.000 0.000 0.000
0.750 0.250 0.500
0.250 0.750 0.500
0.500 0.500 0.000
0.603 0.603 0.739
0.397 0.864 0.261
0.864 0.397 0.261
0.136 0.136 0.739


- What is the formula in the first record?
  ZnInGa


Please write out number 4 again, unchanged.
PBE-GGA LiCu2AsS4, optimized geometry; total moment = 0.00 μB/f.u.; V = 154.70 Å³/cell; uncorrected formation energy = -0.41 eV per atom
1.0
-2.464 -4.650 -1.560
4.444 -1.378 -2.912
0.951 0.609 6.336
Li Cu As S
1 2 1 4
Direct
0.000 0.000 0.000
0.750 0.250 0.500
0.250 0.750 0.500
0.500 0.500 0.000
0.603 0.603 0.739
0.397 0.864 0.261
0.864 0.397 0.261
0.136 0.136 0.739